# 1
P2AuO2 | PBE | relaxed

Summary:
The value obtained for the density of states at the Fermi level is 0.4764 states/eV per atom. Its total magnetic moment is 0.00 μB per formula unit. As for the polymorph energy (0 for the lowest one): 0.000 eV/atom. Its formation energy without anion corrections is -0.39 eV per atom.

Lattice parameters (Å, degrees): 3.4694 3.4694 5.1297 90.00 90.00 90.00
Element x y z (fractional)
P: 0.0000 0.0000 0.0000
P: 0.0000 0.0000 0.5000
Au: 0.5000 0.5000 0.0000
O: 0.0000 0.5000 0.5000
O: 0.5000 0.0000 0.5000



# 2
P2AuO2 | PBE | relaxed

Summary:
The value obtained for the density of states at the Fermi level is 0.5304 states/eV per atom. Its total magnetic moment is 0.00 μB per formula unit. As for the polymorph energy (0 for the lowest one): 1.211 eV/atom. Its formation energy without anion corrections is 0.82 eV per atom.

Lattice parameters (Å, degrees): 3.9413 3.9413 5.0240 90.00 90.00 90.00
Element x y z (fractional)
P: 0.0000 0.0000 0.0000
P: 0.5000 0.5000 0.0000
Au: 0.0000 0.0000 0.5000
O: 0.0000 0.5000 0.5000
O: 0.5000 0.0000 0.5000



| no. | VASP energy (eV/atom) |
| --- | --- |
| 1 | -5.188 |
| 2 | -3.978 |